No. 1
Here is a relaxed structure of Hf2MgSn from the Alexandria database. Energies are from PBE-GGA.

```
Hf2MgSn
1.0
-1.878 -4.279 -1.643
-2.511 -2.950 3.087
-4.900 -0.521 -0.509
Hf Mg Sn
2 1 1
Direct
0.250 0.250 0.250
0.750 0.750 0.750
0.000 0.000 0.000
0.500 0.500 0.500
```

Values from the calculation:
Formation enthalpy at 0 K (kJ/mol of atoms): 2.6
Crystal system: cubic
Total DFT energy (no corrections) (eV per atom): -6.349
ΔE to the lowest computed polymorph (eV/atom): 0.197
Density of states at the Fermi level (states/eV per atom): 1.161

***

No. 2
Here is a relaxed structure of HfMgSn2 from the Alexandria database. Energies are from PBE-GGA.

```
HfMgSn2
1.0
-0.982 -0.608 -3.130
-2.547 -2.076 -0.575
-7.274 6.449 -0.750
Mg Sn Hf
1 2 1
Direct
0.000 0.000 0.000
0.750 0.750 0.751
0.250 0.250 0.249
0.500 0.500 0.500
```

Values from the calculation:
Formation enthalpy at 0 K (kJ/mol of atoms): -17.2
Crystal system: trigonal
Total DFT energy (no corrections) (eV per atom): -5.067
Density of states at the Fermi level (states/eV per atom): 0.269

***

No. 3
Here is a relaxed structure of Hf2MgSn from the Alexandria database. Energies are from PBE-GGA.

```
Hf2MgSn
1.0
7.959 0.000 0.000
0.000 7.959 0.000
3.979 3.979 2.958
Hf Sn Mg
4 2 2
Direct
0.875 0.882 0.750
0.375 0.368 0.750
0.632 0.125 0.250
0.118 0.625 0.250
0.000 0.000 0.000
0.750 0.250 0.500
0.500 0.500 0.000
0.250 0.750 0.500
```

Values from the calculation:
Formation enthalpy at 0 K (kJ/mol of atoms): 27.8
Crystal system: tetragonal
Total DFT energy (no corrections) (eV per atom): -6.088
ΔE to the lowest computed polymorph (eV/atom): 0.458
Density of states at the Fermi level (states/eV per atom): 1.007

***

No. 4
Here is a relaxed structure of HfMgSn2 from the Alexandria database. Energies are from PBE-GGA.

```
HfMgSn2
1.0
-0.642 -2.770 7.374
7.604 -2.151 -0.146
4.299 0.358 4.744
Sn Mg Hf
4 2 2
Direct
0.132 0.625 0.250
0.618 0.125 0.250
0.875 0.868 0.750
0.375 0.382 0.750
0.250 0.750 0.500
0.500 0.500 0.000
0.750 0.250 0.500
0.000 0.000 0.000
```

Values from the calculation:
Formation enthalpy at 0 K (kJ/mol of atoms): 12.9
Crystal system: tetragonal
Total DFT energy (no corrections) (eV per atom): -4.755
Density of states at the Fermi level (states/eV per atom): 0.618

***

No. 5
Here is a relaxed structure of HfMg2Sn2 from the Alexandria database. Energies are from PBE-GGA.

```
HfMg2Sn2
1.0
-0.567 -5.663 5.801
7.494 -2.585 -1.791
1.327 2.242 2.318
Sn Mg Hf
4 4 2
Direct
0.160 0.340 0.000
0.660 0.160 0.000
0.340 0.840 0.000
0.840 0.660 0.000
0.860 0.360 0.500
0.140 0.640 0.500
0.640 0.860 0.500
0.360 0.140 0.500
0.500 0.500 0.000
0.000 0.000 0.000
```

Values from the calculation:
Formation enthalpy at 0 K (kJ/mol of atoms): -1.8
Crystal system: tetragonal
Total DFT energy (no corrections) (eV per atom): -4.248
ΔE to the lowest computed polymorph (eV/atom): 0.000
Density of states at the Fermi level (states/eV per atom): 0.696

***

No. 6
Here is a relaxed structure of Hf2MgSn from the Alexandria database. Energies are from PBE-GGA.

```
Hf2MgSn
1.0
4.813 0.000 0.000
2.406 4.168 0.000
2.406 1.389 5.073
Mg Hf Sn
1 2 1
Direct
0.487 0.487 0.539
0.276 0.276 0.172
0.060 0.060 0.820
0.677 0.677 0.970
```

Values from the calculation:
Formation enthalpy at 0 K (kJ/mol of atoms): 26.5
Crystal system: trigonal
Total DFT energy (no corrections) (eV per atom): -6.101
ΔE to the lowest computed polymorph (eV/atom): 0.445
Density of states at the Fermi level (states/eV per atom): 1.319

***

No. 7
Here is a relaxed structure of Hf2MgSn from the Alexandria database. Energies are from PBE-GGA.

```
Hf2MgSn
1.0
4.529 0.000 0.000
0.000 4.341 0.000
0.000 0.000 4.341
Sn Mg Hf
1 1 2
Direct
0.500 0.000 0.000
0.500 0.500 0.500
0.000 0.500 0.000
0.000 0.000 0.500
```

Values from the calculation:
Formation enthalpy at 0 K (kJ/mol of atoms): -16.4
Crystal system: tetragonal
Total DFT energy (no corrections) (eV per atom): -6.546
ΔE to the lowest computed polymorph (eV/atom): 0.000
Density of states at the Fermi level (states/eV per atom): 0.837

***

No. 8
Here is a relaxed structure of HfMg2Sn from the Alexandria database. Energies are from PBE-GGA.

```
HfMg2Sn
1.0
-2.240 -0.234 -2.264
-2.928 -1.030 0.751
-4.814 9.823 1.493
Hf Sn Mg
1 1 2
Direct
0.000 0.000 0.000
0.500 0.500 0.500
0.091 0.091 0.727
0.909 0.909 0.273
```

Values from the calculation:
Formation enthalpy at 0 K (kJ/mol of atoms): 27.3
Crystal system: trigonal
Total DFT energy (no corrections) (eV per atom): -4.003
Density of states at the Fermi level (states/eV per atom): 0.614

***

No. 9
Here is a relaxed structure of HfMg2Sn2 from the Alexandria database. Energies are from PBE-GGA.

```
HfMg2Sn2
1.0
-0.370 2.587 -7.808
-8.147 -1.195 -0.010
-0.461 3.132 1.059
Hf Mg Sn
2 4 4
Direct
0.000 0.000 0.000
0.500 0.500 0.000
0.877 0.623 0.000
0.123 0.377 0.000
0.377 0.877 0.000
0.623 0.123 0.000
0.677 0.823 0.500
0.323 0.177 0.500
0.823 0.323 0.500
0.177 0.677 0.500
```

Values from the calculation:
Formation enthalpy at 0 K (kJ/mol of atoms): 5.7
Crystal system: tetragonal
Total DFT energy (no corrections) (eV per atom): -4.171
ΔE to the lowest computed polymorph (eV/atom): 0.077
Density of states at the Fermi level (states/eV per atom): 0.718

***

No. 10
Here is a relaxed structure of HfMg2Sn from the Alexandria database. Energies are from PBE-GGA.

```
HfMg2Sn
1.0
-3.693 -2.529 0.579
-0.313 -0.525 -4.293
2.473 -3.553 0.255
Mg Sn Hf
2 1 1
Direct
0.000 0.000 0.500
0.000 0.500 0.000
0.500 0.000 0.000
0.500 0.500 0.500
```

Values from the calculation:
Formation enthalpy at 0 K (kJ/mol of atoms): -15.4
Crystal system: tetragonal
Total DFT energy (no corrections) (eV per atom): -4.446
Density of states at the Fermi level (states/eV per atom): 0.524

***

No. 11
Here is a relaxed structure of HfMgSn from the Alexandria database. Energies are from PBE-GGA.

```
HfMgSn
1.0
-3.115 0.660 0.150
-0.048 -0.918 3.053
2.990 6.349 0.291
Hf Mg Sn
1 1 1
Direct
0.001 0.001 0.002
0.335 0.335 0.669
0.664 0.664 0.329
```

Values from the calculation:
Formation enthalpy at 0 K (kJ/mol of atoms): -6.8
Crystal system: tetragonal
Total DFT energy (no corrections) (eV per atom): -5.254
Density of states at the Fermi level (states/eV per atom): 0.340

***

No. 12
Here is a relaxed structure of HfMgZnSn from the Alexandria database. Energies are from PBE-GGA.

```
HfMgZnSn
1.0
4.177 0.000 0.000
0.000 4.359 0.000
0.000 0.000 4.312
Mg Hf Zn Sn
1 1 1 1
Direct
0.500 0.000 0.500
0.500 0.500 0.000
0.000 0.000 0.000
0.000 0.500 0.500
```

Values from the calculation:
Formation enthalpy at 0 K (kJ/mol of atoms): -18.4
Crystal system: orthorhombic
Total DFT energy (no corrections) (eV per atom): -4.397
Density of states at the Fermi level (states/eV per atom): 0.425